# PBE-GGA KBi2AsRu, optimized geometry
# formation enthalpy at 0 K: 1.157 eV per atom
# space-group type: No. 123
# D(E_F): 1.36 states/eV per atom
data_KBi2AsRu
_cell_length_a 5.5273
_cell_length_b 5.7340
_cell_length_c 5.5273
_cell_angle_alpha 90.00
_cell_angle_beta 90.00
_cell_angle_gamma 90.00
_symmetry_space_group_name_H-M 'P 1'
_symmetry_Int_Tables_number 1
loop_
_symmetry_equiv_pos_as_xyz
'x,y,z'
loop_
_atom_site_label
_atom_site_type_symbol
_atom_site_fract_x
_atom_site_fract_y
_atom_site_fract_z
K1 K 0.0000 0.5000 0.0000
Ru1 Ru 0.5000 0.5000 0.5000
As1 As 0.0000 0.0000 0.0000
Bi1 Bi 0.0000 0.0000 0.5000
Bi2 Bi 0.5000 0.0000 0.0000